## BaZr2Mn (GGA-PBE)

Data for an optimized crystal structure of BaZr2Mn.

Cell: 3.2679 3.2679 9.4425 Å, 90.00 90.00 96.07°
Last column: nearest neighbours and their distance in Å.
Atoms (fractional coordinates):
Ba  0.0000  0.0000  0.0000  4 Ba 3.27
Zr  0.5000  0.5000  0.3401  4 Mn 2.66-2.86
Zr  0.5000  0.5000  0.6599  4 Mn 2.66-2.86
Mn  0.0000  0.0000  0.5000  8 Zr 2.66-2.86

For the energy relative to the elements, the calculation gives 0.297 eV/atom. As for the space group: No. 65. The raw total energy comes out at -27.00 eV per formula unit.